## RbBaF4 (PBE)

Data for RbBaF4 after structural relaxation.

It has space group F-43m (No. 216), with a = 7.3592 Å, b = 7.3592 Å, c = 7.3592 Å, α = 90.00°, β = 90.00° and γ = 90.00°. The asymmetric unit holds Rb at (0.0000, 0.0000, 0.0000), Ba at (0.2500, 0.2500, 0.2500) and F at (0.1242, 0.1242, 0.6242).

The value obtained for the energy relative to the elements, uncorrected is -2.168 eV per atom. The calculation puts the total energy at -93.536 eV per cell. The distance to the lowest polymorph of the same formula comes out at 564 meV/atom.